1.
A plane-wave DFT calculation with PBE was carried out for a geometry-optimized Sr3TlTc structure.

```
5
Lattice="-5.533 -0.225 -1.660 1.350 -3.989 -3.960 -0.992 -4.178 3.871" Properties=species:S:1:pos:R:3 pbc="T T T"
Sr 0.675 -1.995 -1.980
Sr -0.496 -2.089 1.935
Sr -2.766 -0.113 -0.830
Tl -2.587 -4.196 -0.875
Tc 0.000 0.000 0.000
```

Summary:
As for the space group: Pm-3m, No. 221. The total magnetic moment comes out at 0.88 μB/cell. The crystal system is cubic. The calculated total energy comes out at -0.11335 hartree per atom. Its distance to the lowest polymorph of the same formula is 0 meV per atom.

2.
A plane-wave DFT calculation with PBE was carried out for a geometry-optimized Ca6CuAg5 structure.

```
12
Lattice="5.099 0.002 -1.089 -0.003 7.478 -0.001 -0.989 0.000 8.189" Properties=species:S:1:pos:R:3 pbc="T T T"
Ca 3.597 5.632 4.589
Ca 3.598 1.850 4.590
Ca 2.549 1.828 -0.545
Ca 2.547 5.652 -0.545
Ca 0.508 5.630 2.510
Ca 0.510 1.848 2.510
Ag 3.068 3.740 2.020
Ag 1.034 7.479 5.065
Ag -0.002 3.739 0.000
Ag 3.073 0.002 2.035
Ag 1.039 3.740 5.079
Cu 0.000 0.000 0.000
```

Summary:
As for the space group: P2/m, No. 10. The total magnetic moment comes out at 0.00 μB/cell. The crystal system is monoclinic. The calculated total energy comes out at -0.10277 hartree per atom.

3.
A plane-wave DFT calculation with PBE was carried out for a geometry-optimized Cs2ZnCd3Bi4 structure.

```
10
Lattice="-0.299 -5.215 1.074 4.957 0.121 1.964 -4.418 2.518 10.995" Properties=species:S:1:pos:R:3 pbc="T T T"
Cs -1.288 -1.959 3.371
Cs -0.801 1.929 9.144
Zn 0.120 -1.288 7.017
Cd -2.209 1.259 5.498
Cd -3.981 -0.424 10.072
Cd 1.892 0.395 2.442
Bi 2.329 -2.547 1.519
Bi 0.000 0.000 0.000
Bi -2.884 -1.049 7.343
Bi 0.795 1.020 5.171
```

Summary:
As for the space group: P-4m2, No. 115. The total magnetic moment comes out at 0.00 μB/cell. The crystal system is tetragonal. The calculated total energy comes out at -0.08565 hartree per atom.

4.
A plane-wave DFT calculation with PBE was carried out for a geometry-optimized Pu3Co7Cu2 structure.

```
12
Lattice="-2.027 -0.647 4.495 2.830 0.332 4.075 -1.293 7.824 3.294" Properties=species:S:1:pos:R:3 pbc="T T T"
Pu 0.000 0.000 0.000
Pu 0.151 2.999 8.753
Pu -0.641 4.510 3.111
Co -0.245 3.754 5.932
Co -1.010 1.509 6.647
Co 1.432 2.001 6.436
Co 0.009 1.834 4.387
Co 0.521 6.000 5.217
Co -0.499 5.675 7.477
Co -1.922 5.508 5.428
Cu 0.535 -0.205 5.714
Cu -1.024 7.714 6.151
```

Summary:
As for the space group: R-3m, No. 166. The total magnetic moment comes out at 8.08 μB/cell. The crystal system is trigonal. The calculated total energy comes out at -0.31202 hartree per atom.

5.
A plane-wave DFT calculation with PBE was carried out for a geometry-optimized CsHfNiB2 structure.

```
5
Lattice="-3.586 2.641 -1.035 -1.066 0.324 4.521 2.636 3.718 0.355" Properties=species:S:1:pos:R:3 pbc="T T T"
Cs 0.000 0.000 0.000
Ni -0.533 0.162 2.261
B 1.318 1.859 0.177
B -1.793 1.320 -0.517
Hf -1.008 3.342 1.921
```

Summary:
As for the space group: P4/mmm, No. 123. The total magnetic moment comes out at 0.00 μB/cell. The crystal system is tetragonal. The calculated total energy comes out at -0.11837 hartree per atom.

6.
A plane-wave DFT calculation with PBE was carried out for a geometry-optimized Na2LiMg2 structure.

```
10
Lattice="-6.416 1.194 -6.377 -6.443 -2.229 6.065 -0.292 3.346 0.920" Properties=species:S:1:pos:R:3 pbc="T T T"
Na -7.892 -1.490 2.919
Na -9.641 -0.388 -1.644
Na -4.967 0.456 -3.232
Na -3.218 -0.646 1.331
Mg -5.436 0.392 3.442
Mg -9.793 0.592 1.335
Mg -7.715 1.919 -2.835
Mg -3.358 1.720 -0.728
Li 0.000 0.000 0.000
Li -6.430 -0.517 -0.156
```

Summary:
As for the space group: P4/mbm, No. 127. The total magnetic moment comes out at 0.00 μB/cell. The crystal system is tetragonal. The calculated total energy comes out at -0.04947 hartree per atom. Its distance to the lowest polymorph of the same formula is 35 meV per atom.

7.
A plane-wave DFT calculation with PBE was carried out for a geometry-optimized CaAl2Ga2 structure.

```
10
Lattice="7.849 0.000 0.000 0.000 7.849 0.000 0.000 0.000 3.242" Properties=species:S:1:pos:R:3 pbc="T T T"
Ca 0.000 0.000 0.000
Ca 3.924 3.924 0.000
Al 2.953 6.877 0.000
Al 6.877 4.896 0.000
Al 4.896 0.972 0.000
Al 0.972 2.953 0.000
Ga 1.324 5.248 1.621
Ga 5.248 6.525 1.621
Ga 6.525 2.601 1.621
Ga 2.601 1.324 1.621
```

Summary:
As for the space group: P4/mbm, No. 127. The total magnetic moment comes out at 0.00 μB/cell. The crystal system is tetragonal. The calculated total energy comes out at -0.11914 hartree per atom.

8.
A plane-wave DFT calculation with PBE was carried out for a geometry-optimized Nd8ZnAu2 structure.

```
11
Lattice="-2.818 -1.271 4.269 5.703 -2.976 2.879 1.261 9.633 0.447" Properties=species:S:1:pos:R:3 pbc="T T T"
Nd 2.920 5.773 3.646
Nd 4.195 -0.551 5.859
Nd 2.302 2.801 5.607
Nd -0.283 7.274 5.232
Nd 1.844 2.585 1.987
Nd -0.048 5.937 1.736
Nd 1.227 -0.387 3.949
Nd 4.430 -1.887 2.362
Zn -1.409 -0.635 2.134
Au 0.001 4.403 4.565
Au 4.146 0.983 3.029
```

Summary:
As for the space group: C2/m, No. 12. The total magnetic moment comes out at 0.00 μB/cell. The crystal system is monoclinic. The calculated total energy comes out at -0.16541 hartree per atom.

9.
A plane-wave DFT calculation with PBE was carried out for a geometry-optimized CeHo2Se5 structure.

```
16
Lattice="-2.360 -3.308 6.435 -5.811 -3.166 -3.758 7.791 -1.988 -2.666" Properties=species:S:1:pos:R:3 pbc="T T T"
Ce -2.233 -5.850 0.675
Ce 1.853 -2.612 -0.664
Ho -2.367 -1.605 -0.290
Ho -2.454 -2.663 3.635
Ho -5.717 -3.811 -0.958
Ho -5.803 -4.869 2.967
Se 0.244 -5.284 -1.214
Se -5.353 -6.389 0.666
Se 0.000 0.000 0.000
Se -4.085 -3.237 1.338
Se 4.972 -2.073 -0.655
Se 2.711 -4.316 1.863
Se 2.506 -3.040 -3.732
Se -3.091 -4.146 -1.852
Se -2.886 -5.422 3.743
Se -0.625 -3.178 1.225
```

Summary:
As for the space group: I4/mcm, No. 140. The total magnetic moment comes out at 0.42 μB/cell. The crystal system is tetragonal. The calculated total energy comes out at -0.21076 hartree per atom. As for the energy relative to the elements, uncorrected: -1671 meV per atom.

10.
A plane-wave DFT calculation with PBE was carried out for a geometry-optimized CsCd2Ag2 structure.

```
5
Lattice="5.191 0.000 0.000 0.000 5.191 0.000 2.596 2.596 5.611" Properties=species:S:1:pos:R:3 pbc="T T T"
Cs 0.000 0.000 0.000
Ag 5.191 2.596 2.806
Ag 2.596 5.191 2.806
Cd 2.596 2.596 1.531
Cd 5.191 5.191 4.081
```

Summary:
As for the space group: I4/mmm, No. 139. The total magnetic moment comes out at 0.00 μB/cell. The crystal system is tetragonal. The calculated total energy comes out at -0.06088 hartree per atom. Its distance to the lowest polymorph of the same formula is 34 meV per atom.

11.
A plane-wave DFT calculation with PBE was carried out for a geometry-optimized HfAl3Ge structure.

```
5
Lattice="4.771 0.000 0.000 0.000 4.771 0.000 0.000 0.000 4.771" Properties=species:S:1:pos:R:3 pbc="T T T"
Ge 0.000 0.000 0.000
Hf 2.386 2.386 2.386
Al 0.000 2.386 0.000
Al 0.000 0.000 2.386
Al 2.386 0.000 0.000
```

Summary:
As for the space group: Pm-3m, No. 221. The total magnetic moment comes out at 0.00 μB/cell. The crystal system is cubic. The calculated total energy comes out at -0.16196 hartree per atom. Its distance to the lowest polymorph of the same formula is 0 meV per atom.

12.
A plane-wave DFT calculation with PBE was carried out for a geometry-optimized RbTlGe structure.

```
6
Lattice="-1.899 -17.619 0.709 2.657 -6.200 -1.765 0.946 5.886 3.616" Properties=species:S:1:pos:R:3 pbc="T T T"
Tl 2.098 -10.315 -1.374
Tl 0.537 -2.020 3.071
Ge 0.785 -10.253 1.192
Ge 1.012 -15.862 -0.201
Rb 2.533 -5.764 -1.450
Rb -0.057 -7.067 3.371
```

Summary:
As for the space group: Cm, No. 8. The total magnetic moment comes out at 0.00 μB/cell. The crystal system is monoclinic. The calculated total energy comes out at -0.09907 hartree per atom.

13.
A plane-wave DFT calculation with PBE was carried out for a geometry-optimized CaTa2P structure.

```
4
Lattice="-1.079 3.939 -2.340 -1.387 -2.591 -3.676 -1.861 -0.782 4.252" Properties=species:S:1:pos:R:3 pbc="T T T"
Ca -1.233 0.674 -3.008
P -2.086 1.915 -0.548
Ta 0.000 0.000 0.000
Ta -2.241 -1.350 -1.216
```

Summary:
As for the space group: I-4m2, No. 119. The total magnetic moment comes out at 0.00 μB/cell. The crystal system is tetragonal. The calculated total energy comes out at -0.27137 hartree per atom. Its distance to the lowest polymorph of the same formula is 545 meV per atom.

14.
A plane-wave DFT calculation with PBE was carried out for a geometry-optimized TiGaB2Pb structure.

```
5
Lattice="4.348 0.000 0.000 0.000 5.427 0.000 0.000 0.000 4.348" Properties=species:S:1:pos:R:3 pbc="T T T"
Pb 0.000 2.713 0.000
B 0.000 0.000 2.174
B 2.174 0.000 0.000
Ga 2.174 2.713 2.174
Ti 0.000 0.000 0.000
```

Summary:
As for the space group: P4/mmm, No. 123. The total magnetic moment comes out at 0.00 μB/cell. The crystal system is tetragonal. The calculated total energy comes out at -0.16150 hartree per atom.

15.
A plane-wave DFT calculation with PBE was carried out for a geometry-optimized Ac5Rh2Pb5 structure.

```
12
Lattice="4.297 -0.002 1.052 2.091 9.226 0.742 -0.173 -0.236 9.909" Properties=species:S:1:pos:R:3 pbc="T T T"
Ac 3.107 4.494 5.852
Ac 2.181 2.871 9.612
Ac 1.424 0.616 3.474
Ac 4.791 8.372 8.230
Ac 4.034 6.116 2.091
Rh 4.687 4.478 8.636
Rh 1.527 4.509 3.068
Pb 5.575 7.143 5.087
Pb 2.360 6.154 8.838
Pb 3.855 2.834 2.865
Pb 0.640 1.845 6.616
Pb 0.000 0.000 0.000
```

Summary:
As for the space group: P-1, No. 2. The total magnetic moment comes out at 0.00 μB/cell. The crystal system is triclinic. The calculated total energy comes out at -0.18445 hartree per atom.

16.
A plane-wave DFT calculation with PBE was carried out for a geometry-optimized PmSmTe2 structure.

```
8
Lattice="4.349 0.000 0.000 -2.175 3.767 0.000 0.000 0.000 15.282" Properties=species:S:1:pos:R:3 pbc="T T T"
Pm 2.175 1.256 3.820
Pm 0.000 2.511 11.461
Sm 0.000 0.000 7.641
Sm 0.000 0.000 0.000
Te 0.000 2.511 5.763
Te 2.175 1.256 13.404
Te 2.175 1.256 9.519
Te 0.000 2.511 1.878
```

Summary:
As for the space group: P6_3/mmc, No. 194. The total magnetic moment comes out at 0.00 μB/cell. The crystal system is hexagonal. The calculated total energy comes out at -0.19568 hartree per atom. Its distance to the lowest polymorph of the same formula is 17 meV per atom. As for the energy relative to the elements, uncorrected: -1386 meV per atom.

17.
A plane-wave DFT calculation with PBE was carried out for a geometry-optimized Pa2AgPbO8 structure.

```
12
Lattice="-0.168 -0.681 5.772 5.117 0.364 -2.736 -0.052 6.379 0.752" Properties=species:S:1:pos:R:3 pbc="T T T"
Pa 1.587 0.431 3.026
Pa 3.310 5.631 0.761
Ag 0.000 0.000 0.000
Pb -0.026 3.189 0.376
O 3.124 4.995 4.243
O 1.347 5.259 1.882
O 0.178 4.931 4.589
O 1.773 1.066 -0.457
O 3.550 0.802 1.905
O 4.719 1.131 -0.802
O 1.572 2.328 3.249
O 3.325 3.733 0.538
```

Summary:
As for the space group: P-3, No. 147. The total magnetic moment comes out at 1.05 μB/cell. The crystal system is trigonal. The calculated total energy comes out at -0.26928 hartree per atom. As for the energy relative to the elements, uncorrected: -1893 meV per atom.

18.
A plane-wave DFT calculation with PBE was carried out for a geometry-optimized BaHgMo2 structure.

```
4
Lattice="5.712 -0.002 -0.008 -2.698 5.457 -0.008 0.316 0.782 2.803" Properties=species:S:1:pos:R:3 pbc="T T T"
Ba -1.191 3.120 1.397
Hg 1.507 2.727 -0.008
Mo 0.000 0.000 0.000
Mo 3.014 0.390 1.397
```

Summary:
As for the space group: C2/m, No. 12. The total magnetic moment comes out at 0.00 μB/cell. The crystal system is monoclinic. The calculated total energy comes out at -0.17601 hartree per atom.

19.
A plane-wave DFT calculation with PBE was carried out for a geometry-optimized Ta2Cd structure.

```
12
Lattice="-3.138 -4.112 -3.738 -1.937 -1.155 2.897 -6.689 6.731 -1.788" Properties=species:S:1:pos:R:3 pbc="T T T"
Cd -7.048 5.412 -1.391
Cd -5.461 0.435 0.012
Cd -6.303 1.028 -2.641
Cd -4.716 -3.948 -1.238
Ta -2.574 0.862 -0.214
Ta -4.795 3.251 -0.746
Ta -3.299 -1.846 0.548
Ta -7.634 2.670 -0.550
Ta -4.130 -1.207 -2.079
Ta -8.465 3.310 -3.177
Ta -6.970 -1.787 -1.883
Ta -9.191 0.602 -2.415
```

Summary:
As for the space group: Pnma, No. 62. The total magnetic moment comes out at 0.00 μB/cell. The crystal system is orthorhombic. The calculated total energy comes out at -0.29046 hartree per atom.

20.
A plane-wave DFT calculation with PBE was carried out for a geometry-optimized Zr2NiPb structure.

```
4
Lattice="-2.766 -1.777 4.775 0.362 -1.140 5.673 -1.576 3.626 2.916" Properties=species:S:1:pos:R:3 pbc="T T T"
Ni -2.029 0.517 6.704
Pb -0.948 0.351 3.053
Zr -1.576 3.554 2.967
Zr -2.992 0.266 10.237
```

Summary:
As for the space group: Cm, No. 8. The total magnetic moment comes out at 0.00 μB/cell. The crystal system is monoclinic. The calculated total energy comes out at -0.24949 hartree per atom.